(1)
Below is a geometry-optimized Li2Sc2Cu structure, with properties calculated at the PBE level.

Summary:
- Relative energy among the computed polymorphs: 40 meV per atom
- V: 18.60 Å³ per atom
- E_form: 17.0 kJ per mole of atoms
- Total moment: 2.65 μB per cell

Cell lengths 6.304, 6.304, 4.681 Å; angles 90.00, 90.00, 90.00 degrees
Positions (direct):
Li: 0.135 0.365 0.000
Li: 0.365 0.865 0.000
Li: 0.635 0.135 0.000
Li: 0.865 0.635 0.000
Sc: 0.182 0.682 0.500
Sc: 0.318 0.182 0.500
Sc: 0.682 0.818 0.500
Sc: 0.818 0.318 0.500
Cu: 0.000 0.000 0.000
Cu: 0.500 0.500 0.000

---

(2)
Below is a geometry-optimized TlNi2Ag structure, with properties calculated at the PBE level.

Summary:
- Relative energy among the computed polymorphs: 0 meV per atom
- V: 15.39 Å³ per atom
- E_form: 23.4 kJ per mole of atoms
- Total moment: 0.00 μB per cell

Cell lengths 6.268, 6.268, 6.268 Å; angles 90.00, 90.00, 90.00 degrees
Positions (direct):
Tl: 0.000 0.000 0.000
Tl: 0.000 0.500 0.500
Tl: 0.500 0.000 0.500
Tl: 0.500 0.500 0.000
Ni: 0.250 0.250 0.250
Ni: 0.250 0.250 0.750
Ni: 0.250 0.750 0.250
Ni: 0.250 0.750 0.750
Ni: 0.750 0.250 0.250
Ni: 0.750 0.250 0.750
Ni: 0.750 0.750 0.250
Ni: 0.750 0.750 0.750
Ag: 0.000 0.000 0.500
Ag: 0.000 0.500 0.000
Ag: 0.500 0.000 0.000
Ag: 0.500 0.500 0.500

---

(3)
Below is a geometry-optimized SnRu2S structure, with properties calculated at the PBE level.

Summary:
- Relative energy among the computed polymorphs: 97 meV per atom
- V: 16.00 Å³ per atom
- Formation energy (no corrections): 0.3189 eV/atom
- Total moment: 0.00 μB per cell

Cell lengths 6.349, 6.349, 6.349 Å; angles 90.00, 90.00, 90.00 degrees
Positions (direct):
Sn: 0.000 0.000 0.000
Sn: 0.000 0.500 0.500
Sn: 0.500 0.000 0.500
Sn: 0.500 0.500 0.000
Ru: 0.250 0.250 0.250
Ru: 0.250 0.250 0.750
Ru: 0.250 0.750 0.250
Ru: 0.250 0.750 0.750
Ru: 0.750 0.250 0.250
Ru: 0.750 0.250 0.750
Ru: 0.750 0.750 0.250
Ru: 0.750 0.750 0.750
S: 0.000 0.000 0.500
S: 0.000 0.500 0.000
S: 0.500 0.000 0.000
S: 0.500 0.500 0.500

---

(4)
Below is a geometry-optimized TbSmTlRu structure, with properties calculated at the PBE level.

Summary:
- Relative energy among the computed polymorphs: 143 meV per atom
- V: 24.09 Å³ per atom
- E_form: -20.5 kJ per mole of atoms
- Total moment: 0.00 μB per cell

Cell lengths 7.278, 7.278, 7.278 Å; angles 90.00, 90.00, 90.00 degrees
Positions (direct):
Tb: 0.000 0.000 0.000
Tb: 0.000 0.500 0.500
Tb: 0.500 0.000 0.500
Tb: 0.500 0.500 0.000
Sm: 0.000 0.000 0.500
Sm: 0.000 0.500 0.000
Sm: 0.500 0.000 0.000
Sm: 0.500 0.500 0.500
Tl: 0.250 0.250 0.750
Tl: 0.250 0.750 0.250
Tl: 0.750 0.250 0.250
Tl: 0.750 0.750 0.750
Ru: 0.250 0.250 0.250
Ru: 0.250 0.750 0.750
Ru: 0.750 0.250 0.750
Ru: 0.750 0.750 0.250

---

(5)
Below is a geometry-optimized MgCoSe2 structure, with properties calculated at the PBE level.

Summary:
- Relative energy among the computed polymorphs: 267 meV per atom
- V: 21.30 Å³ per atom
- Formation energy (no corrections): -0.2576 eV/atom
- Total moment: 0.00 μB per cell

Cell lengths 3.581, 3.581, 23.015 Å; angles 90.00, 90.00, 120.00 degrees
Positions (direct):
Mg: 0.000 0.000 0.000
Mg: 0.333 0.667 0.667
Mg: 0.667 0.333 0.333
Co: 0.000 0.000 0.500
Co: 0.333 0.667 0.167
Co: 0.667 0.333 0.833
Se: 0.000 0.000 0.114
Se: 0.000 0.000 0.886
Se: 0.333 0.667 0.552
Se: 0.333 0.667 0.781
Se: 0.667 0.333 0.219
Se: 0.667 0.333 0.448

---

(6)
Below is a geometry-optimized La8GaNi2 structure, with properties calculated at the PBE level.

Summary:
- V: 30.38 Å³ per atom
- E_form: -13.2 kJ per mole of atoms
- Total moment: 0.00 μB per cell

Cell lengths 8.094, 8.094, 5.945 Å; angles 97.48, 97.48, 117.56 degrees
Positions (direct):
La: 0.000 0.000 0.000
La: 0.009 0.276 0.564
La: 0.114 0.571 0.181
La: 0.276 0.009 0.564
La: 0.456 0.711 0.781
La: 0.571 0.114 0.181
La: 0.711 0.456 0.781
La: 0.758 0.758 0.391
Ga: 0.376 0.376 0.316
Ni: 0.086 0.681 0.719
Ni: 0.681 0.086 0.719

---

Copy entry 5 word for word.
Below is a geometry-optimized MgCoSe2 structure, with properties calculated at the PBE level.

Summary:
- Relative energy among the computed polymorphs: 267 meV per atom
- V: 21.30 Å³ per atom
- Formation energy (no corrections): -0.2576 eV/atom
- Total moment: 0.00 μB per cell

Cell lengths 3.581, 3.581, 23.015 Å; angles 90.00, 90.00, 120.00 degrees
Positions (direct):
Mg: 0.000 0.000 0.000
Mg: 0.333 0.667 0.667
Mg: 0.667 0.333 0.333
Co: 0.000 0.000 0.500
Co: 0.333 0.667 0.167
Co: 0.667 0.333 0.833
Se: 0.000 0.000 0.114
Se: 0.000 0.000 0.886
Se: 0.333 0.667 0.552
Se: 0.333 0.667 0.781
Se: 0.667 0.333 0.219
Se: 0.667 0.333 0.448

---

> What is the formula in the third record?

SnRu2S